Entry 1:
Compound: KNpBe2F8
Source: Alexandria
Functional: PBE
Structure: relaxed

Unit cell a=5.1464 b=5.1464 c=23.0214 alpha=90.00 beta=90.00 gamma=120.00
Space group R32 (No. 155, hexagonal axes)
Symmetry-distinct sites (fractional):
K (0.0000, 0.0000, 0.0000)
Np (0.0000, 0.0000, 0.5000)
Be (0.0000, 0.0000, 0.2550)
F (0.0000, 0.0000, 0.3193)
F (0.0012, 0.2854, 0.7725)

Computed properties:
Energy relative to the elements, uncorrected   -3222 meV per atom
Total magnetization   12.0 μB/cell
Total DFT energy (no corrections)   -6.2601 eV per atom



Entry 2:
Compound: KBeOF2
Source: Alexandria
Functional: PBE
Structure: relaxed

Unit cell a=4.556 b=4.556 c=4.267 alpha=90.00 beta=90.00 gamma=90.00
Space group P4/mmm (No. 123)
Symmetry-distinct sites (fractional):
K (0.000, 0.000, 0.000)
Be (0.500, 0.500, 0.500)
O (0.000, 0.000, 0.500)
F (0.000, 0.500, 0.000)

Computed properties:
Energy relative to the elements, uncorrected   40 meV per atom
Total magnetization   0.0 μB/cell
E above lowest polymorph   2136.1 meV/atom
Total DFT energy (no corrections)   -2.6653 eV per atom



Entry 3:
Compound: KBeOF2
Source: Alexandria
Functional: PBE
Structure: relaxed

Unit cell a=4.059 b=4.059 c=3.336 alpha=90.00 beta=90.00 gamma=90.00
Space group P4/mmm (No. 123)
Symmetry-distinct sites (fractional):
K (0.000, 0.000, 0.000)
Be (0.500, 0.500, 0.500)
O (0.500, 0.500, 0.000)
F (0.000, 0.500, 0.500)

Computed properties:
Energy relative to the elements, uncorrected   -2097 meV per atom
Total magnetization   1.0 μB/cell
E above lowest polymorph   0.0 meV/atom
Total DFT energy (no corrections)   -4.8014 eV per atom



Entry 4:
Compound: KPmBe2F8
Source: Alexandria
Functional: PBE
Structure: relaxed

Unit cell a=8.399 b=5.578 c=8.311 alpha=90.00 beta=92.22 gamma=90.00
Space group C2/m (No. 12)
Symmetry-distinct sites (fractional):
K (0.000, 0.000, 0.000)
Pm (0.000, 0.000, 0.500)
Be (0.123, 0.500, 0.270)
F (0.018, 0.267, 0.293)
F (0.206, 0.500, 0.115)
F (0.236, 0.500, 0.432)

Computed properties:
Energy relative to the elements, uncorrected   -3464 meV per atom
Total magnetization   0.3 μB/cell
Total DFT energy (no corrections)   -5.8196 eV per atom



Entry 5:
Compound: K2BePtF
Source: Alexandria
Functional: PBE
Structure: relaxed

Unit cell a=5.009 b=5.009 c=4.808 alpha=90.00 beta=90.00 gamma=90.00
Space group P4/mmm (No. 123)
Symmetry-distinct sites (fractional):
K (0.000, 0.500, 0.000)
Be (0.000, 0.000, 0.500)
Pt (0.500, 0.500, 0.500)
F (0.500, 0.500, 0.000)

Computed properties:
Energy relative to the elements, uncorrected   -44 meV per atom
Total magnetization   0.0 μB/cell
Total DFT energy (no corrections)   -2.8108 eV per atom



Entry 6:
Compound: KPuBe2F8
Source: Alexandria
Functional: PBE
Structure: relaxed

Unit cell a=5.0838 b=5.0838 c=23.8773 alpha=90.00 beta=90.00 gamma=120.00
Space group R32 (No. 155, hexagonal axes)
Symmetry-distinct sites (fractional):
K (0.0000, 0.0000, 0.0000)
Pu (0.0000, 0.0000, 0.5000)
Be (0.0000, 0.0000, 0.2537)
F (0.0000, 0.0000, 0.3157)
F (0.0046, 0.2903, 0.2271)

Computed properties:
Energy relative to the elements, uncorrected   -3287 meV per atom
Total magnetization   15.0 μB/cell
Total DFT energy (no corrections)   -6.4419 eV per atom